# ZrSi2Hg

A relaxed ZrSi2Hg crystal (PBE, the Alexandria database).

Values from the calculation:
The density of states at the Fermi level is 2.9 states/eV per cell. The energy relative to the elements, uncorrected comes out at 0.30 eV/atom. The value obtained for the total energy is -0.3399 Ry per atom. Its magnetic moment is 0.0 μB/cell. The offset from the most stable computed form comes out at 0.407 eV per atom.

```
ZrSi2Hg
1.0
0.0000 3.3542 3.3542
3.3542 0.0000 3.3542
3.3542 3.3542 0.0000
Si Hg Zr
2 1 1
Cartesian
5.0314 5.0314 5.0314 Si
1.6771 1.6771 1.6771 Si
3.3542 3.3542 3.3542 Hg
0.0000 0.0000 0.0000 Zr
```